Entry from Alexandria: an optimized crystal structure of TaCr3Te (PBEsol).

Cell: 4.7222 4.7222 4.7222 Å, 90.00 90.00 90.00°
Fractional positions:
Ta (0.0000, 0.0000, 0.0000)
Cr (0.0000, 0.0000, 0.5000)
Cr (0.0000, 0.5000, 0.0000)
Cr (0.5000, 0.0000, 0.0000)
Te (0.5000, 0.5000, 0.5000)

Computed properties:
Its space group is No. 221. The calculation puts the formation energy without anion corrections at 1.585 eV/atom. The calculation puts the total magnetization at 9.3 Bohr magnetons per cell. Its total energy is -7.776 eV per atom.

=====

Entry from Alexandria: an optimized crystal structure of Ta2CrTe (PBEsol).

Cell: 3.4042 3.4042 6.0270 Å, 90.00 90.00 90.00°
Fractional positions:
Ta (0.0000, 0.0000, 0.0000)
Ta (0.5000, 0.5000, 0.2602)
Cr (0.5000, 0.5000, 0.7851)
Te (0.0000, 0.0000, 0.5180)

Computed properties:
Its space group is No. 99. The calculation puts the formation energy without anion corrections at 0.195 eV/atom. The calculation puts the total magnetization at 2.3 Bohr magnetons per cell. Its total energy is -9.522 eV per atom.

=====

Entry from Alexandria: an optimized crystal structure of Ta2CrTe (PBEsol).

Cell: 3.1090 3.1090 7.2461 Å, 90.00 90.00 95.21°
Fractional positions:
Ta (0.0000, 0.0000, 0.2054)
Ta (0.0000, 0.0000, 0.7946)
Cr (0.5000, 0.5000, 0.0000)
Te (0.5000, 0.5000, 0.5000)

Computed properties:
Its space group is No. 65. The calculation puts the formation energy without anion corrections at 0.283 eV/atom. The calculation puts the total magnetization at 0.0 Bohr magnetons per cell. Its total energy is -9.434 eV per atom.

=====

Entry from Alexandria: an optimized crystal structure of Ta2CrTe2 (PBEsol).

Cell: 5.5978 5.5978 5.5978 Å, 123.68 123.68 83.74°
Fractional positions:
Ta (0.1420, 0.1420, 0.0000)
Ta (0.8580, 0.8580, 0.0000)
Cr (0.5000, 0.5000, 0.0000)
Te (0.2500, 0.7500, 0.5000)
Te (0.7500, 0.2500, 0.5000)

Computed properties:
Its space group is No. 139. The calculation puts the formation energy without anion corrections at 0.751 eV/atom. The calculation puts the total magnetization at 4.7 Bohr magnetons per cell. Its total energy is -7.728 eV per atom.

=====

Entry from Alexandria: an optimized crystal structure of Ta4CrTe4 (PBEsol).

Cell: 10.5793 18.3698 4.7910 Å, 90.00 90.00 90.00°
Fractional positions:
Ta (0.0663, 0.1207, 0.0000)
Ta (0.1021, 0.8878, 0.5000)
Ta (0.1959, 0.0591, 0.5000)
Ta (0.2111, 0.9621, 0.0000)
Ta (0.2889, 0.4621, 0.0000)
Ta (0.3041, 0.5591, 0.5000)
Ta (0.3979, 0.3878, 0.5000)
Ta (0.4337, 0.6207, 0.0000)
Ta (0.5663, 0.3793, 0.0000)
Ta (0.6021, 0.6122, 0.5000)
Ta (0.6959, 0.4409, 0.5000)
Ta (0.7111, 0.5379, 0.0000)
Ta (0.7889, 0.0379, 0.0000)
Ta (0.8041, 0.9409, 0.5000)
Ta (0.8979, 0.1122, 0.5000)
Ta (0.9337, 0.8793, 0.0000)
Cr (0.0000, 0.0000, 0.2499)
Cr (0.0000, 0.0000, 0.7501)
Cr (0.5000, 0.5000, 0.2499)
Cr (0.5000, 0.5000, 0.7501)
Te (0.1112, 0.2056, 0.5000)
Te (0.1425, 0.4351, 0.5000)
Te (0.1671, 0.6000, 0.0000)
Te (0.1724, 0.8097, 0.0000)
Te (0.3276, 0.3097, 0.0000)
Te (0.3329, 0.1000, 0.0000)
Te (0.3575, 0.9351, 0.5000)
Te (0.3888, 0.7056, 0.5000)
Te (0.6112, 0.2944, 0.5000)
Te (0.6425, 0.0649, 0.5000)
Te (0.6671, 0.9000, 0.0000)
Te (0.6724, 0.6903, 0.0000)
Te (0.8276, 0.1903, 0.0000)
Te (0.8329, 0.4000, 0.0000)
Te (0.8575, 0.5649, 0.5000)
Te (0.8888, 0.7944, 0.5000)

Computed properties:
Its space group is No. 55. The calculation puts the formation energy without anion corrections at -0.332 eV/atom. The calculation puts the total magnetization at 0.0 Bohr magnetons per cell. Its total energy is -8.615 eV per atom.

=====

Entry from Alexandria: an optimized crystal structure of Ta2CrTe (PBEsol).

Cell: 3.9528 3.9528 4.3427 Å, 90.00 90.00 90.00°
Fractional positions:
Ta (0.0000, 0.5000, 0.0000)
Ta (0.5000, 0.0000, 0.0000)
Cr (0.0000, 0.0000, 0.5000)
Te (0.5000, 0.5000, 0.5000)

Computed properties:
Its space group is No. 123. The calculation puts the formation energy without anion corrections at 0.297 eV/atom. The calculation puts the total magnetization at 1.9 Bohr magnetons per cell. Its total energy is -9.420 eV per atom.

=====

Entry from Alexandria: an optimized crystal structure of TaCrTe2 (PBEsol).

Cell: 4.7250 4.7250 3.3828 Å, 90.00 90.00 90.00°
Fractional positions:
Ta (0.0000, 0.0000, 0.0000)
Cr (0.5000, 0.5000, 0.0000)
Te (0.0000, 0.5000, 0.5000)
Te (0.5000, 0.0000, 0.5000)

Computed properties:
Its space group is No. 123. The calculation puts the formation energy without anion corrections at 0.251 eV/atom. The calculation puts the total magnetization at 2.7 Bohr magnetons per cell. Its total energy is -7.211 eV per atom. As for the energy above the most stable polymorph in this dataset: 0.36 eV/f.u.

=====

Entry from Alexandria: an optimized crystal structure of TaTlCr (PBEsol).

Cell: 3.0105 3.0105 6.9035 Å, 90.00 90.00 120.00°
Fractional positions:
Ta (0.0000, 0.0000, 0.0000)
Tl (0.3333, 0.6667, 0.6339)
Cr (0.6667, 0.3333, 0.2972)

Computed properties:
Its space group is No. 156. The calculation puts the total magnetization at 2.6 Bohr magnetons per cell. Its total energy is -7.837 eV per atom. As for the energy of formation from the pure elements: 0.637 eV/atom. As for the energy above the most stable polymorph in this dataset: 0.00 eV/f.u.

=====

Entry from Alexandria: an optimized crystal structure of TaTlCr (PBEsol).

Cell: 4.4916 4.4916 4.4916 Å, 60.00 60.00 60.00°
Fractional positions:
Ta (0.0000, 0.0000, 0.0000)
Tl (0.2500, 0.2500, 0.2500)
Cr (0.7500, 0.7500, 0.7500)

Computed properties:
Its space group is No. 216. The calculation puts the total magnetization at 2.4 Bohr magnetons per cell. Its total energy is -7.097 eV per atom. As for the energy of formation from the pure elements: 1.377 eV/atom. As for the energy above the most stable polymorph in this dataset: 2.22 eV/f.u.

=====

Entry from Alexandria: an optimized crystal structure of Ta2TlCr (PBEsol).

Cell: 2.9240 2.9240 8.8704 Å, 90.00 90.00 113.02°
Fractional positions:
Ta (0.0000, 0.0000, 0.2145)
Ta (0.0000, 0.0000, 0.7855)
Tl (0.5000, 0.5000, 0.5000)
Cr (0.5000, 0.5000, 0.0000)

Computed properties:
Its space group is No. 65. The calculation puts the total magnetization at 0.0 Bohr magnetons per cell. Its total energy is -9.147 eV per atom. As for the energy of formation from the pure elements: 0.347 eV/atom. As for the energy above the most stable polymorph in this dataset: 0.00 eV/f.u.

=====

Entry from Alexandria: an optimized crystal structure of Ta2TlCr (PBEsol).

Cell: 5.2369 5.2369 5.2369 Å, 142.42 128.84 65.18°
Fractional positions:
Ta (0.2272, 0.2272, 0.0000)
Ta (0.7728, 0.7728, 0.0000)
Tl (0.5000, 0.0000, 0.5000)
Cr (0.0000, 0.5000, 0.5000)

Computed properties:
Its space group is No. 71. The calculation puts the total magnetization at 0.0 Bohr magnetons per cell. Its total energy is -9.145 eV per atom. As for the energy of formation from the pure elements: 0.348 eV/atom. As for the energy above the most stable polymorph in this dataset: 0.00 eV/f.u.

=====

Entry from Alexandria: an optimized crystal structure of Ta2TlCr (PBEsol).

Cell: 5.2415 5.2415 4.6020 Å, 113.21 113.21 36.22°
Fractional positions:
Ta (0.0000, 0.0000, 0.0000)
Ta (0.2340, 0.2340, 0.7445)
Tl (0.4585, 0.4585, 0.4581)
Cr (0.7118, 0.7118, 0.2477)

Computed properties:
Its space group is No. 8. The calculation puts the total magnetization at 0.0 Bohr magnetons per cell. Its total energy is -9.095 eV per atom. As for the energy of formation from the pure elements: 0.399 eV/atom. As for the energy above the most stable polymorph in this dataset: 0.21 eV/f.u.

=====

Entry from Alexandria: an optimized crystal structure of TaTlCr (PBEsol).

Cell: 4.4557 4.4557 4.4557 Å, 60.00 60.00 60.00°
Fractional positions:
Ta (0.0000, 0.0000, 0.0000)
Tl (0.7500, 0.7500, 0.7500)
Cr (0.5000, 0.5000, 0.5000)

Computed properties:
Its space group is No. 216. The calculation puts the total magnetization at 3.0 Bohr magnetons per cell. Its total energy is -7.133 eV per atom. As for the energy of formation from the pure elements: 1.341 eV/atom. As for the energy above the most stable polymorph in this dataset: 2.11 eV/f.u.

=====

Entry from Alexandria: an optimized crystal structure of TaCr2W (PBEsol).

Cell: 8.0519 8.0519 8.0519 Å, 20.82 20.82 20.82°
Fractional positions:
Ta (0.0000, 0.0000, 0.0000)
Cr (0.2477, 0.2477, 0.2477)
Cr (0.7523, 0.7523, 0.7523)
W (0.5000, 0.5000, 0.5000)

Computed properties:
Its space group is No. 166. The calculation puts the total magnetization at 0.0 Bohr magnetons per cell. Its total energy is -11.273 eV per atom. As for the energy of formation from the pure elements: 0.438 eV/atom. As for the energy above the most stable polymorph in this dataset: 1.86 eV/f.u.

=====

Entry from Alexandria: an optimized crystal structure of TaCr4W (PBEsol).

Cell: 4.8013 4.8013 4.8013 Å, 60.00 60.00 60.00°
Fractional positions:
Ta (0.0000, 0.0000, 0.0000)
Cr (0.1253, 0.6249, 0.6249)
Cr (0.6249, 0.1253, 0.6249)
Cr (0.6249, 0.6249, 0.1253)
Cr (0.6249, 0.6249, 0.6249)
W (0.2500, 0.2500, 0.2500)

Computed properties:
Its space group is No. 216. The calculation puts the total magnetization at 0.0 Bohr magnetons per cell. Its total energy is -11.242 eV per atom. As for the energy of formation from the pure elements: -0.021 eV/atom.

=====

Entry from Alexandria: an optimized crystal structure of Ta2Cr2W (PBEsol).

Cell: 6.0627 6.0627 6.0627 Å, 143.22 143.22 53.00°
Fractional positions:
Ta (0.2500, 0.7500, 0.5000)
Ta (0.7500, 0.2500, 0.5000)
Cr (0.0842, 0.0842, 0.0000)
Cr (0.9158, 0.9158, 0.0000)
W (0.5000, 0.5000, 0.0000)

Computed properties:
Its space group is No. 139. The calculation puts the total magnetization at 0.0 Bohr magnetons per cell. Its total energy is -11.033 eV per atom. As for the energy of formation from the pure elements: 0.846 eV/atom.

=====

Entry from Alexandria: an optimized crystal structure of TaCr2W (PBEsol).

Cell: 4.2800 4.2800 4.2800 Å, 60.00 60.00 60.00°
Fractional positions:
Ta (0.0000, 0.0000, 0.0000)
Cr (0.2500, 0.2500, 0.2500)
Cr (0.7500, 0.7500, 0.7500)
W (0.5000, 0.5000, 0.5000)

Computed properties:
Its space group is No. 225. The calculation puts the total magnetization at 0.0 Bohr magnetons per cell. Its total energy is -11.738 eV per atom. As for the energy of formation from the pure elements: -0.027 eV/atom. As for the energy above the most stable polymorph in this dataset: 0.00 eV/f.u.

=====

Entry from Alexandria: an optimized crystal structure of Ta2CrW (PBEsol).

Cell: 3.1395 3.1395 6.2790 Å, 90.00 90.00 90.00°
Fractional positions:
Ta (0.0000, 0.0000, 0.2401)
Ta (0.0000, 0.0000, 0.7599)
Cr (0.5000, 0.5000, 0.0000)
W (0.5000, 0.5000, 0.5000)

Computed properties:
Its space group is No. 123. The calculation puts the total magnetization at 0.0 Bohr magnetons per cell. Its total energy is -12.323 eV per atom. As for the energy of formation from the pure elements: -0.035 eV/atom.

=====

Entry from Alexandria: an optimized crystal structure of TaCr2W (PBEsol).

Cell: 4.2779 4.2779 3.0285 Å, 90.00 90.00 90.00°
Fractional positions:
Ta (0.0000, 0.0000, 0.0000)
Cr (0.0000, 0.5000, 0.5000)
Cr (0.5000, 0.0000, 0.5000)
W (0.5000, 0.5000, 0.0000)

Computed properties:
Its space group is No. 123. The calculation puts the total magnetization at 0.0 Bohr magnetons per cell. Its total energy is -11.731 eV per atom. As for the energy of formation from the pure elements: -0.020 eV/atom. As for the energy above the most stable polymorph in this dataset: 0.03 eV/f.u.

=====

Entry from Alexandria: an optimized crystal structure of TaCr2W (PBEsol).

Cell: 4.9618 4.9618 4.9618 Å, 144.04 127.41 65.36°
Fractional positions:
Ta (0.0000, 0.0000, 0.0000)
Cr (0.2536, 0.7536, 0.5000)
Cr (0.7464, 0.2464, 0.5000)
W (0.5000, 0.5000, 0.0000)

Computed properties:
Its space group is No. 71. The calculation puts the total magnetization at 0.0 Bohr magnetons per cell. Its total energy is -11.608 eV per atom. As for the energy of formation from the pure elements: 0.102 eV/atom. As for the energy above the most stable polymorph in this dataset: 0.52 eV/f.u.